# 1
Crystalline Mo2WS6 at its relaxed geometry. Source: the Alexandria database, functional PBE-GGA. Values from VASP.

Quantum ESPRESSO input file:
```
&SYSTEM
  ibrav = 0, nat = 9, ntyp = 3
/
ATOMIC_SPECIES
Mo 95.94 Mo.upf
W 183.84 W.upf
S 32.06 S.upf
CELL_PARAMETERS angstrom
-0.031 -0.586 3.135
-1.809 -1.742 -1.966
16.243 -14.083 -2.470
ATOMIC_POSITIONS crystal
Mo 0.333 0.667 0.677
Mo 0.333 0.667 0.323
W 0.667 0.333 0.000
S 0.333 0.667 0.073
S 0.667 0.333 0.605
S 0.667 0.333 0.251
S 0.667 0.333 0.749
S 0.667 0.333 0.395
S 0.333 0.667 0.927
```

Summary:
ΔE_f (raw) ... -857 meV/atom
Theoretical density ... 4.95 Mg/m³
Total energy ... -7.455 eV/atom

---

# 2
Crystalline LaY2TiGe at its relaxed geometry. Source: the Alexandria database, functional PBE-GGA. Values from VASP.

Quantum ESPRESSO input file:
```
&SYSTEM
  ibrav = 0, nat = 5, ntyp = 4
/
ATOMIC_SPECIES
Y 88.91 Y.upf
Ge 72.64 Ge.upf
Ti 47.87 Ti.upf
La 138.91 La.upf
CELL_PARAMETERS angstrom
-1.019 5.383 -0.578
-1.837 -0.834 -4.528
-5.014 -0.717 2.166
ATOMIC_POSITIONS crystal
Y 0.000 0.000 0.500
Y 0.500 0.000 0.000
Ge 0.000 0.000 0.000
Ti 0.000 0.500 0.000
La 0.500 0.500 0.500
```

Summary:
Theoretical density ... 4.83 Mg/m³
Energy of formation ... 0.26 eV per formula unit
Total energy ... -6.023 eV/atom

---

# 3
Crystalline Er2In5Cl12 at its relaxed geometry. Source: the Alexandria database, functional PBE-GGA. Values from VASP.

Quantum ESPRESSO input file:
```
&SYSTEM
  ibrav = 0, nat = 19, ntyp = 3
/
ATOMIC_SPECIES
Er 167.26 Er.upf
In 114.82 In.upf
Cl 35.45 Cl.upf
CELL_PARAMETERS angstrom
7.351 -0.052 3.531
1.969 8.032 4.070
-0.551 0.005 9.200
ATOMIC_POSITIONS crystal
Er 0.000 0.760 0.240
Er 0.000 0.240 0.760
In 0.924 0.256 0.256
In 0.476 0.347 0.347
In 0.500 0.000 0.000
In 0.524 0.653 0.653
In 0.076 0.744 0.744
Cl 0.197 0.911 0.911
Cl 0.261 0.137 0.514
Cl 0.261 0.514 0.137
Cl 0.829 0.082 0.701
Cl 0.829 0.701 0.082
Cl 0.826 0.474 0.474
Cl 0.174 0.526 0.526
Cl 0.171 0.918 0.299
Cl 0.171 0.299 0.918
Cl 0.739 0.863 0.486
Cl 0.739 0.486 0.863
Cl 0.803 0.089 0.089
```

Summary:
ΔE_f (raw) ... -1379 meV/atom
Theoretical density ... 3.96 Mg/m³
Total energy ... -3.747 eV/atom

---

# 4
Crystalline Hf2NpCo9 at its relaxed geometry. Source: the Alexandria database, functional PBE-GGA. Values from VASP.

Quantum ESPRESSO input file:
```
&SYSTEM
  ibrav = 0, nat = 12, ntyp = 3
/
ATOMIC_SPECIES
Hf 178.49 Hf.upf
Np 237.00 Np.upf
Co 58.93 Co.upf
CELL_PARAMETERS angstrom
4.644 0.000 1.382
2.117 4.134 1.382
0.029 0.017 8.398
ATOMIC_POSITIONS crystal
Hf 0.860 0.860 0.421
Hf 0.140 0.140 0.579
Np 0.000 0.000 0.000
Co 0.665 0.665 0.006
Co 0.335 0.335 0.994
Co 0.500 0.500 0.500
Co 0.412 0.412 0.254
Co 0.921 0.412 0.254
Co 0.412 0.921 0.254
Co 0.588 0.588 0.746
Co 0.588 0.079 0.746
Co 0.079 0.588 0.746
```

Summary:
Theoretical density ... 11.60 Mg/m³
Energy of formation ... -2.63 eV per formula unit
Total energy ... -8.286 eV/atom

---

# 5
Crystalline Ce2PuThBi4 at its relaxed geometry. Source: the Alexandria database, functional PBE-GGA. Values from VASP.

Quantum ESPRESSO input file:
```
&SYSTEM
  ibrav = 0, nat = 8, ntyp = 4
/
ATOMIC_SPECIES
Ce 140.12 Ce.upf
Pu 244.00 Pu.upf
Th 232.04 Th.upf
Bi 208.98 Bi.upf
CELL_PARAMETERS angstrom
4.588 0.000 0.000
0.000 7.949 -0.161
0.000 2.794 7.444
ATOMIC_POSITIONS crystal
Ce 0.000 0.000 0.000
Ce 0.500 0.000 0.500
Pu 0.500 0.500 0.000
Th 0.000 0.500 0.500
Bi 0.000 0.748 0.752
Bi 0.000 0.252 0.248
Bi 0.500 0.750 0.249
Bi 0.500 0.250 0.751
```

Summary:
Theoretical density ... 9.67 Mg/m³
Energy of formation ... -5.17 eV per formula unit
Total energy ... -6.789 eV/atom

---

# 6
Crystalline La2MgRhI at its relaxed geometry. Source: the Alexandria database, functional PBE-GGA. Values from VASP.

Quantum ESPRESSO input file:
```
&SYSTEM
  ibrav = 0, nat = 5, ntyp = 4
/
ATOMIC_SPECIES
I 126.90 I.upf
Mg 24.30 Mg.upf
Rh 102.91 Rh.upf
La 138.91 La.upf
CELL_PARAMETERS angstrom
5.530 0.000 0.000
0.000 5.530 0.000
0.000 0.000 5.202
ATOMIC_POSITIONS crystal
I 0.500 0.500 0.500
Mg 0.000 0.000 0.500
Rh 0.000 0.000 0.000
La 0.000 0.500 0.000
La 0.500 0.000 0.000
```

Summary:
ΔE_f (raw) ... -625 meV/atom
Theoretical density ... 5.55 Mg/m³
Total energy ... -4.695 eV/atom

---

# 7
Crystalline Rb3Dy3ReO8 at its relaxed geometry. Source: the Alexandria database, functional PBE-GGA. Values from VASP.

Quantum ESPRESSO input file:
```
&SYSTEM
  ibrav = 0, nat = 15, ntyp = 4
/
ATOMIC_SPECIES
Rb 85.47 Rb.upf
Dy 162.50 Dy.upf
Re 186.21 Re.upf
O 16.00 O.upf
CELL_PARAMETERS angstrom
6.824 0.000 0.000
-3.412 5.909 -0.022
0.000 -3.916 6.607
ATOMIC_POSITIONS crystal
Rb 0.000 0.000 0.000
Rb 0.000 0.500 0.000
Rb 0.500 0.500 0.000
Dy 0.500 0.000 0.500
Dy 0.500 0.500 0.500
Dy 0.000 0.500 0.500
Re 0.000 0.000 0.500
O 0.276 0.552 0.328
O 0.724 0.448 0.672
O 0.792 0.583 0.336
O 0.208 0.417 0.664
O 0.792 0.044 0.336
O 0.208 0.956 0.664
O 0.253 0.044 0.336
O 0.747 0.956 0.664
```

Summary:
ΔE_f (raw) ... -2414 meV/atom
Theoretical density ... 6.61 Mg/m³
Total energy ... -7.002 eV/atom

---

# 8
Crystalline Pr4Dy7Er at its relaxed geometry. Source: the Alexandria database, functional PBE-GGA. Values from VASP.

Quantum ESPRESSO input file:
```
&SYSTEM
  ibrav = 0, nat = 12, ntyp = 3
/
ATOMIC_SPECIES
Pr 140.91 Pr.upf
Dy 162.50 Dy.upf
Er 167.26 Er.upf
CELL_PARAMETERS angstrom
-2.926 -0.083 5.181
8.420 -0.937 8.157
-1.097 6.005 2.894
ATOMIC_POSITIONS crystal
Pr 0.641 0.222 0.495
Pr 0.359 0.778 0.505
Pr 0.783 0.662 0.771
Pr 0.217 0.338 0.229
Dy 0.788 0.924 0.500
Dy 0.212 0.076 0.500
Dy 0.071 0.693 0.165
Dy 0.929 0.307 0.835
Dy 0.368 0.494 0.771
Dy 0.500 0.000 0.000
Dy 0.632 0.506 0.229
Er 0.000 0.000 0.000
```

Summary:
Theoretical density ... 7.56 Mg/m³
Energy of formation ... 3.19 eV per formula unit
Distance to the lowest polymorph of the same formula ... 176.6 meV per atom
Total energy ... -4.392 eV/atom